[1]
DFT (PBE) results for a geometry-optimized Ac3Pm3Er structure.

Unit cell a=5.635 b=13.895 c=14.083 alpha=90.00 beta=90.00 gamma=90.00
Fractional coordinates of all 28 atoms:
Ac1 0.750 0.909 0.939
Ac2 0.250 0.591 0.439
Ac3 0.250 0.091 0.061
Ac4 0.750 0.409 0.561
Ac5 0.750 0.905 0.442
Ac6 0.250 0.595 0.942
Ac7 0.250 0.095 0.558
Ac8 0.750 0.405 0.058
Ac9 0.750 0.687 0.139
Ac10 0.250 0.813 0.639
Ac11 0.250 0.313 0.861
Ac12 0.750 0.187 0.361
Pm1 0.750 0.707 0.800
Pm2 0.250 0.793 0.300
Pm3 0.250 0.293 0.200
Pm4 0.750 0.207 0.700
Pm5 0.750 0.163 0.934
Pm6 0.250 0.337 0.434
Pm7 0.250 0.837 0.066
Pm8 0.750 0.663 0.566
Pm9 0.750 0.965 0.688
Pm10 0.250 0.535 0.188
Pm11 0.250 0.035 0.312
Pm12 0.750 0.465 0.812
Er1 0.750 0.953 0.188
Er2 0.250 0.547 0.688
Er3 0.250 0.047 0.812
Er4 0.750 0.453 0.312

- Formation energy from the elements: 191 meV/atom
- Crystal system: orthorhombic
- Energy: -4.258 eV per atom
- Space-group type: Pnma (62)

---

[2]
DFT (PBE) results for a geometry-optimized Ac6PmEr2 structure.

Unit cell a=9.852 b=12.959 c=12.959 alpha=80.92 beta=132.57 gamma=132.57
Fractional coordinates of all 18 atoms:
Ac1 0.397 0.616 0.703
Ac2 0.103 0.297 0.384
Ac3 0.603 0.384 0.297
Ac4 0.897 0.703 0.616
Ac5 0.676 0.841 0.281
Ac6 0.824 0.719 0.159
Ac7 0.324 0.159 0.719
Ac8 0.176 0.281 0.841
Ac9 0.930 0.630 0.933
Ac10 0.570 0.067 0.370
Ac11 0.070 0.370 0.067
Ac12 0.430 0.933 0.630
Pm1 0.250 0.027 0.973
Pm2 0.750 0.973 0.027
Er1 0.110 0.534 0.821
Er2 0.390 0.179 0.466
Er3 0.890 0.466 0.179
Er4 0.610 0.821 0.534

- Formation energy from the elements: 177 meV/atom
- Crystal system: monoclinic
- Energy: -4.103 eV per atom
- Space-group type: C2/c (15)

---

[3]
DFT (PBE) results for a geometry-optimized AcPm4Er structure.

Unit cell a=6.753 b=6.753 c=6.753 alpha=60.00 beta=60.00 gamma=60.00
Fractional coordinates of all 6 atoms:
Ac1 0.250 0.250 0.250
Pm1 0.626 0.626 0.121
Pm2 0.626 0.121 0.626
Pm3 0.626 0.626 0.626
Pm4 0.121 0.626 0.626
Er1 0.000 0.000 0.000

- Formation energy from the elements: 239 meV/atom
- Crystal system: cubic
- Energy: -4.373 eV per atom
- Space-group type: F-43m (216)

---

[4]
DFT (PBE) results for a geometry-optimized Ac2Pm12Er5 structure.

Unit cell a=11.692 b=8.830 c=9.546 alpha=70.13 beta=90.00 gamma=131.46
Fractional coordinates of all 19 atoms:
Ac1 0.734 0.000 0.000
Ac2 0.266 0.000 0.000
Pm1 0.127 0.253 0.058
Pm2 0.053 0.621 0.799
Pm3 0.567 0.621 0.799
Pm4 0.174 0.780 0.425
Pm5 0.606 0.780 0.425
Pm6 0.422 0.844 0.777
Pm7 0.578 0.156 0.223
Pm8 0.826 0.220 0.575
Pm9 0.394 0.220 0.575
Pm10 0.947 0.379 0.201
Pm11 0.433 0.379 0.201
Pm12 0.873 0.747 0.942
Er1 0.189 0.379 0.669
Er2 0.306 0.611 0.244
Er3 0.000 0.000 0.500
Er4 0.694 0.389 0.756
Er5 0.811 0.621 0.331

- Formation energy from the elements: 120 meV/atom
- Crystal system: monoclinic
- Energy: -4.514 eV per atom
- Space-group type: C2/m (12)

---

[5]
DFT (PBE) results for a geometry-optimized AcPm4Er structure.

Unit cell a=9.231 b=5.809 c=10.662 alpha=90.01 beta=105.15 gamma=128.97
Fractional coordinates of all 12 atoms:
Ac1 0.376 0.626 0.253
Ac2 0.624 0.374 0.747
Pm1 0.197 0.948 0.416
Pm2 0.037 0.787 0.083
Pm3 0.280 0.531 0.583
Pm4 0.455 0.704 0.917
Pm5 0.803 0.052 0.584
Pm6 0.720 0.469 0.417
Pm7 0.963 0.213 0.917
Pm8 0.545 0.296 0.083
Er1 0.873 0.123 0.246
Er2 0.127 0.877 0.754

- Formation energy from the elements: 56 meV/atom
- Crystal system: monoclinic
- Energy: -4.557 eV per atom
- Space-group type: C2/c (15)

---

[6]
DFT (PBE) results for a geometry-optimized AcPm4Er5 structure.

Unit cell a=3.640 b=3.640 c=25.137 alpha=90.00 beta=90.00 gamma=90.00
Fractional coordinates of all 10 atoms:
Ac1 0.000 0.000 0.000
Pm1 0.000 0.000 0.205
Pm2 0.000 0.000 0.402
Pm3 0.000 0.000 0.598
Pm4 0.000 0.000 0.795
Er1 0.500 0.500 0.107
Er2 0.500 0.500 0.303
Er3 0.500 0.500 0.500
Er4 0.500 0.500 0.697
Er5 0.500 0.500 0.893

- Formation energy from the elements: 34 meV/atom
- Crystal system: tetragonal
- Energy: -4.558 eV per atom
- Space-group type: P4/mmm (123)